Material: ScV2Zn2
Method: DFT, PBE
State: optimized geometry

The structure in CIF format:
```
data_ScV2Zn2
_chemical_formula_sum 'Sc2 V4 Zn4'
_cell_length_a 3.965
_cell_length_b 3.965
_cell_length_c 10.800
_cell_angle_alpha 90.00
_cell_angle_beta 90.00
_cell_angle_gamma 90.00
_symmetry_space_group_name_H-M 'I 4/m m m'
_symmetry_Int_Tables_number 139
_symmetry_space_group_name_Hall '-I 4 2'
loop_
_atom_site_label
_atom_site_type_symbol
_atom_site_fract_x
_atom_site_fract_y
_atom_site_fract_z
Sc1 Sc 0.000 0.000 0.000
V1 V 0.000 0.000 0.412
Zn1 Zn 0.000 0.500 0.250
```

Values from the calculation:
The calculation puts the calculated formation energy at 237 meV/atom. For the density of states at the Fermi level, the calculation gives 7.2 states/eV per cell. The value obtained for the excess energy over the best structure of this formula in the dataset is 162 meV/atom.